i.
# NbBi3N (GGA-PBE, relaxed)
data_NbBi3N
_chemical_formula_sum 'Nb1 Bi3 N1'
_space_group_name_H-M_alt 'P 1'
_space_group_IT_number 1
_cell_length_a 4.8659
_cell_length_b 4.8659
_cell_length_c 4.8659
_cell_angle_alpha 90.00
_cell_angle_beta 90.00
_cell_angle_gamma 90.00
loop_
_space_group_symop_operation_xyz
'x,y,z'
loop_
_atom_site_label
_atom_site_fract_x
_atom_site_fract_y
_atom_site_fract_z
Nb1 0.5000 0.5000 0.5000
Bi1 0.0000 0.5000 0.0000
Bi2 0.0000 0.0000 0.5000
Bi3 0.5000 0.0000 0.0000
N1 0.0000 0.0000 0.0000
# SG: Pm-3m (221)

ii.
# NbBi3N (GGA-PBE, relaxed)
data_NbBi3N
_chemical_formula_sum 'Nb1 Bi3 N1'
_space_group_name_H-M_alt 'P 1'
_space_group_IT_number 1
_cell_length_a 5.4967
_cell_length_b 5.4967
_cell_length_c 5.4967
_cell_angle_alpha 90.00
_cell_angle_beta 90.00
_cell_angle_gamma 90.00
loop_
_space_group_symop_operation_xyz
'x,y,z'
loop_
_atom_site_label
_atom_site_fract_x
_atom_site_fract_y
_atom_site_fract_z
Nb1 0.0000 0.0000 0.0000
Bi1 0.0000 0.5000 0.0000
Bi2 0.0000 0.0000 0.5000
Bi3 0.5000 0.0000 0.0000
N1 0.5000 0.5000 0.5000
# SG: Pm-3m (221)

Which of them is the least stable? Correct choice: ii.

i.
# NbBiS2N (GGA-PBE, relaxed)
data_NbBiS2N
_chemical_formula_sum 'Nb1 Bi1 S2 N1'
_space_group_name_H-M_alt 'P 1'
_space_group_IT_number 1
_cell_length_a 5.0085
_cell_length_b 5.0085
_cell_length_c 3.9236
_cell_angle_alpha 90.00
_cell_angle_beta 90.00
_cell_angle_gamma 90.00
loop_
_space_group_symop_operation_xyz
'x,y,z'
loop_
_atom_site_label
_atom_site_fract_x
_atom_site_fract_y
_atom_site_fract_z
S1 0.0000 0.5000 0.0000
S2 0.5000 0.0000 0.0000
Nb1 0.0000 0.0000 0.0000
Bi1 0.5000 0.5000 0.5000
N1 0.0000 0.0000 0.5000
# SG: P4/mmm (123)

ii.
# NbBiS2N (GGA-PBE, relaxed)
data_NbBiS2N
_chemical_formula_sum 'Nb1 Bi1 S2 N1'
_space_group_name_H-M_alt 'P 1'
_space_group_IT_number 1
_cell_length_a 5.1764
_cell_length_b 5.1764
_cell_length_c 4.1999
_cell_angle_alpha 90.00
_cell_angle_beta 90.00
_cell_angle_gamma 90.00
loop_
_space_group_symop_operation_xyz
'x,y,z'
loop_
_atom_site_label
_atom_site_fract_x
_atom_site_fract_y
_atom_site_fract_z
S1 0.0000 0.5000 0.0000
S2 0.5000 0.0000 0.0000
Nb1 0.5000 0.5000 0.5000
Bi1 0.0000 0.0000 0.0000
N1 0.0000 0.0000 0.5000
# SG: P4/mmm (123)

Which of them is the least stable? Correct choice: ii.

i.
# NbBiTe2N (GGA-PBE, relaxed)
data_NbBiTe2N
_chemical_formula_sum 'Nb1 Bi1 Te2 N1'
_space_group_name_H-M_alt 'P 1'
_space_group_IT_number 1
_cell_length_a 5.6515
_cell_length_b 5.6515
_cell_length_c 3.9392
_cell_angle_alpha 90.00
_cell_angle_beta 90.00
_cell_angle_gamma 90.00
loop_
_space_group_symop_operation_xyz
'x,y,z'
loop_
_atom_site_label
_atom_site_fract_x
_atom_site_fract_y
_atom_site_fract_z
Nb1 0.0000 0.0000 0.0000
Te1 0.0000 0.5000 0.0000
Te2 0.5000 0.0000 0.0000
Bi1 0.5000 0.5000 0.5000
N1 0.0000 0.0000 0.5000
# SG: P4/mmm (123)

ii.
# NbBiTe2N (GGA-PBE, relaxed)
data_NbBiTe2N
_chemical_formula_sum 'Nb1 Bi1 Te2 N1'
_space_group_name_H-M_alt 'P 1'
_space_group_IT_number 1
_cell_length_a 5.8809
_cell_length_b 5.8809
_cell_length_c 4.1763
_cell_angle_alpha 90.00
_cell_angle_beta 90.00
_cell_angle_gamma 90.00
loop_
_space_group_symop_operation_xyz
'x,y,z'
loop_
_atom_site_label
_atom_site_fract_x
_atom_site_fract_y
_atom_site_fract_z
Nb1 0.5000 0.5000 0.5000
Te1 0.0000 0.5000 0.0000
Te2 0.5000 0.0000 0.0000
Bi1 0.0000 0.0000 0.0000
N1 0.0000 0.0000 0.5000
# SG: P4/mmm (123)

Which of them is the least stable? Correct choice: ii.

i.
# Nd4Bi2N (GGA-PBE, relaxed)
data_Nd4Bi2N
_chemical_formula_sum 'Nd4 Bi2 N1'
_space_group_name_H-M_alt 'P 1'
_space_group_IT_number 1
_cell_length_a 4.0361
_cell_length_b 8.5740
_cell_length_c 8.4886
_cell_angle_alpha 134.30
_cell_angle_beta 103.75
_cell_angle_gamma 90.00
loop_
_space_group_symop_operation_xyz
'x,y,z'
loop_
_atom_site_label
_atom_site_fract_x
_atom_site_fract_y
_atom_site_fract_z
Nd1 0.9470 0.2091 0.8940
Nd2 0.0530 0.7909 0.1060
Nd3 0.6419 0.2312 0.2838
Nd4 0.3581 0.7688 0.7162
Bi1 0.6603 0.6474 0.3207
Bi2 0.3397 0.3526 0.6793
N1 0.0000 0.0000 0.0000
# SG: C2/m (12)

ii.
# Nd4Bi2N (GGA-PBE, relaxed)
data_Nd4Bi2N
_chemical_formula_sum 'Nd4 Bi2 N1'
_space_group_name_H-M_alt 'P 1'
_space_group_IT_number 1
_cell_length_a 4.9023
_cell_length_b 4.9023
_cell_length_c 9.1113
_cell_angle_alpha 105.61
_cell_angle_beta 105.61
_cell_angle_gamma 90.00
loop_
_space_group_symop_operation_xyz
'x,y,z'
loop_
_atom_site_label
_atom_site_fract_x
_atom_site_fract_y
_atom_site_fract_z
Nd1 0.8403 0.8403 0.6805
Nd2 0.1597 0.1597 0.3195
Nd3 0.0000 0.5000 0.0000
Nd4 0.5000 0.0000 0.0000
Bi1 0.6442 0.6442 0.2884
Bi2 0.3558 0.3558 0.7116
N1 0.0000 0.0000 0.0000
# SG: I4/mmm (139)

Which of them is the least stable? Correct choice: i.